Entry from Alexandria via LeMat-Bulk: crystalline Ca2MgTa at its relaxed geometry (PBE).

```
data_Ca2MgTa
_chemical_formula_sum 'Ca2 Mg1 Ta1'
_space_group_name_H-M_alt 'P 4 m m'
_space_group_IT_number 99
_cell_length_a 3.253
_cell_length_b 3.253
_cell_length_c 10.197
_cell_angle_alpha 90.00
_cell_angle_beta 90.00
_cell_angle_gamma 90.00
loop_
_space_group_symop_operation_xyz
'x,y,z'
'-y,x,z'
'-x,-y,z'
'y,-x,z'
'-x,y,z'
'y,x,z'
'x,-y,z'
'-y,-x,z'
loop_
_atom_site_label
_atom_site_type_symbol
_atom_site_fract_x
_atom_site_fract_y
_atom_site_fract_z
Ca1 Ca 0.000 0.000 0.000
Ca2 Ca 0.500 0.500 0.321
Mg1 Mg 0.000 0.000 0.576
Ta1 Ta 0.500 0.500 0.768
```

Total energy: -3.916 eV/atom
Energy relative to the elements: 0.447 eV per atom
Total moment: 0.00 μB per atom

***

Entry from Alexandria via LeMat-Bulk: crystalline Li2PbI at its relaxed geometry (PBE).

```
data_Li2PbI
_chemical_formula_sum 'Li6 Pb3 I3'
_space_group_name_H-M_alt 'R -3 m'
_space_group_IT_number 166
_space_group_name_Hall '-R 3 2"'
_cell_length_a 3.8239
_cell_length_b 3.8239
_cell_length_c 25.1195
_cell_angle_alpha 90.00
_cell_angle_beta 90.00
_cell_angle_gamma 120.00
loop_
_atom_site_label
_atom_site_type_symbol
_atom_site_fract_x
_atom_site_fract_y
_atom_site_fract_z
Li1 Li 0.0000 0.0000 0.2380
Pb1 Pb 0.0000 0.0000 0.0000
I1 I 0.0000 0.0000 0.5000
```

Total energy: -2.784 eV/atom
Total moment: 0.00 μB per atom
Offset from the most stable computed form: 0 meV/atom
E_form (uncorrected): -0.51 eV/atom